No. 1
Here is CdGeIr2Pt after structural relaxation from Alexandria. Energies are from PBE.

Cell and atoms, written as POSCAR:
```
CdGeIr2Pt
1.0
-1.421 -2.224 -4.096
3.200 -3.383 0.726
-3.283 -2.562 2.530
Ir Pt Cd Ge
2 1 1 1
direct
0.000 0.000 0.500 Ir
0.500 0.000 0.000 Ir
0.500 0.500 0.500 Pt
0.000 0.000 0.000 Cd
0.000 0.500 0.000 Ge
```

* energy relative to the elements: 995 kJ/mol of formula units
* symmetry: P4/mmm (123)

***

No. 2
Here is GaP2SI after structural relaxation from Alexandria. Energies are from PBE.

Cell and atoms, written as POSCAR:
```
GaP2SI
1.0
5.229 0.000 0.000
0.000 5.229 0.000
0.000 0.000 5.173
Ga P I S
1 2 1 1
direct
0.500 0.500 0.500 Ga
0.000 0.500 0.000 P
0.500 0.000 0.000 P
0.000 0.000 0.000 I
0.000 0.000 0.500 S
```

* symmetry: P4/mmm (123)
* formation energy from raw total energies: 1.24 eV per atom

***

No. 3
Here is AcTm5In3 after structural relaxation from Alexandria. Energies are from PBE.

Cell and atoms, written as POSCAR:
```
AcTm5In3
1.0
-2.556 -5.729 -2.640
8.581 -3.773 -0.119
-5.471 -1.034 7.542
Tm In Ac
10 6 2
direct
0.250 0.335 0.335 Tm
0.750 0.335 0.000 Tm
0.250 0.665 0.000 Tm
0.500 0.667 0.333 Tm
0.000 0.333 0.667 Tm
0.750 0.665 0.665 Tm
0.750 0.000 0.335 Tm
0.250 0.000 0.665 Tm
0.500 0.333 0.667 Tm
0.000 0.667 0.333 Tm
0.250 0.658 0.658 In
0.250 0.000 0.342 In
0.750 0.342 0.342 In
0.750 0.000 0.658 In
0.250 0.342 0.000 In
0.750 0.658 0.000 In
0.500 0.000 0.000 Ac
0.000 0.000 0.000 Ac
```

* energy relative to the elements: -254 kJ/mol of formula units
* symmetry: P6_3/mcm (193)

***

no.,VASP energy (eV/cell),N(E_F) (states/eV/cell)
1,-19.0,5.6
2,-13.3,5.2
3,-74.6,18.0